# 1
# In2GePb2

An optimized crystal structure of In2GePb2 (PBE, the Alexandria database).

Cell lengths 9.009, 9.009, 3.611 Å; angles 90.00, 90.00, 90.00 degrees
Positions (direct):
Pb 0.323 0.823 0.000
Pb 0.823 0.677 0.000
Pb 0.677 0.177 0.000
Pb 0.177 0.323 0.000
Ge 0.000 0.000 0.000
Ge 0.500 0.500 0.000
In 0.124 0.624 0.500
In 0.624 0.876 0.500
In 0.876 0.376 0.500
In 0.376 0.124 0.500

Values from the calculation:
**ΔE_f**: 1.376 eV/f.u.
**Volume**: 293 Å³/cell
**Polymorph energy (0 for the lowest one)**: 0.116 eV/atom

***

# 2
# FeIr2Se

An optimized crystal structure of FeIr2Se (PBE, the Alexandria database).

Cell lengths 2.779, 2.779, 9.144 Å; angles 90.00, 90.00, 120.73 degrees
Site moments in Bohr magnetons follow the coordinates.
Positions (direct):
Fe 0.500 0.500 0.755  2.67
Ir 0.000 0.000 0.988  0.13
Ir 0.500 0.500 0.240  -0.20
Se 0.000 0.000 0.517  0.00

Values from the calculation:
**Volume**: 61 Å³/cell
**Formation energy from raw total energies**: 0.473 eV per atom